An optimized crystal structure of Ac2Mg5Tl3. Source: Alexandria via LeMat-Bulk, functional PBE-GGA.

## Properties
Total magnetic moment, μB/f.u.: 0.00
Total DFT energy (no corrections), eV for the cell shown: -101.6

Structure (CIF):
```
data_Ac2Mg5Tl3
_cell_length_a 12.2516
_cell_length_b 13.5771
_cell_length_c 6.8413
_cell_angle_alpha 90.00
_cell_angle_beta 90.00
_cell_angle_gamma 90.00
_symmetry_space_group_name_H-M 'I b a m'
_symmetry_Int_Tables_number 72
_symmetry_space_group_name_Hall '-I 2 2c'
loop_
_atom_site_label
_atom_site_fract_x
_atom_site_fract_y
_atom_site_fract_z
Ac1 0.2437 0.1241 0.0000
Mg1 0.0000 0.2627 0.2500
Mg2 0.0000 0.5000 0.2500
Mg3 0.1280 0.1266 0.5000
Tl1 0.0000 0.0000 0.2500
Tl2 0.1449 0.3767 0.0000
```

An optimized crystal structure of Ac2Mg3Tl5. Source: Alexandria via LeMat-Bulk, functional PBE-GGA.

## Properties
Total magnetic moment, μB/f.u.: 0.00
Total DFT energy (no corrections), eV for the cell shown: -108.1

Structure (CIF):
```
data_Ac2Mg3Tl5
_cell_length_a 11.7369
_cell_length_b 14.2111
_cell_length_c 6.9762
_cell_angle_alpha 90.00
_cell_angle_beta 90.00
_cell_angle_gamma 90.00
_symmetry_space_group_name_H-M 'I b a m'
_symmetry_Int_Tables_number 72
_symmetry_space_group_name_Hall '-I 2 2c'
loop_
_atom_site_label
_atom_site_fract_x
_atom_site_fract_y
_atom_site_fract_z
Ac1 0.2340 0.1335 0.0000
Mg1 0.0000 0.5000 0.2500
Mg2 0.1011 0.1392 0.5000
Tl1 0.0000 0.0000 0.2500
Tl2 0.0000 0.2799 0.2500
Tl3 0.1667 0.3990 0.0000
```

An optimized crystal structure of AcMgTl4. Source: Alexandria via LeMat-Bulk, functional PBE-GGA.

## Properties
Total magnetic moment, μB/f.u.: 0.00
Total DFT energy (no corrections), eV for the cell shown: -60.7

Structure (CIF):
```
data_AcMgTl4
_cell_length_a 9.0994
_cell_length_b 9.0994
_cell_length_c 9.0994
_cell_angle_alpha 90.00
_cell_angle_beta 90.00
_cell_angle_gamma 90.00
_symmetry_space_group_name_H-M 'F -4 3 m'
_symmetry_Int_Tables_number 216
_symmetry_space_group_name_Hall 'F -4 2 3'
loop_
_atom_site_label
_atom_site_fract_x
_atom_site_fract_y
_atom_site_fract_z
Ac1 0.0000 0.0000 0.0000
Mg1 0.2500 0.2500 0.7500
Tl1 0.1249 0.1249 0.3751
```

An optimized crystal structure of Ac12MgTl6. Source: Alexandria via LeMat-Bulk, functional PBE-GGA.

## Properties
Total magnetic moment, μB/f.u.: 0.00
Total DFT energy (no corrections), eV for the cell shown: -198.4

Structure (CIF):
```
data_Ac12MgTl6
_cell_length_a 15.9889
_cell_length_b 15.9889
_cell_length_c 10.5292
_cell_angle_alpha 90.00
_cell_angle_beta 90.00
_cell_angle_gamma 120.00
_symmetry_space_group_name_H-M 'R -3'
_symmetry_Int_Tables_number 148
_symmetry_space_group_name_Hall '-R 3'
loop_
_atom_site_label
_atom_site_fract_x
_atom_site_fract_y
_atom_site_fract_z
Ac1 0.0486 0.8604 0.2979
Ac2 0.0551 0.8042 0.9350
Mg1 0.0000 0.0000 0.0000
Tl1 0.0562 0.8054 0.6001
```

An optimized crystal structure of Ac4Mg3Tl. Source: Alexandria via LeMat-Bulk, functional PBE-GGA.

## Properties
Total magnetic moment, μB/f.u.: 0.00
Total DFT energy (no corrections), eV for the cell shown: -24.7

Structure (CIF):
```
data_Ac4Mg3Tl
_cell_length_a 4.1230
_cell_length_b 4.1230
_cell_length_c 16.4803
_cell_angle_alpha 90.00
_cell_angle_beta 90.00
_cell_angle_gamma 90.00
_symmetry_space_group_name_H-M 'P 4/m m m'
_symmetry_Int_Tables_number 123
_symmetry_space_group_name_Hall '-P 4 2'
loop_
_atom_site_label
_atom_site_fract_x
_atom_site_fract_y
_atom_site_fract_z
Ac1 0.0000 0.0000 0.1249
Ac2 0.0000 0.0000 0.3740
Mg1 0.5000 0.5000 0.0000
Mg2 0.5000 0.5000 0.2466
Tl1 0.5000 0.5000 0.5000
```

An optimized crystal structure of AcMg3Tl. Source: Alexandria via LeMat-Bulk, functional PBE-GGA.

## Properties
Total magnetic moment, μB/f.u.: 0.00
Total DFT energy (no corrections), eV for the cell shown: -23.3

Structure (CIF):
```
data_AcMg3Tl
_cell_length_a 8.0190
_cell_length_b 7.2039
_cell_length_c 5.9952
_cell_angle_alpha 90.00
_cell_angle_beta 123.40
_cell_angle_gamma 90.00
_symmetry_space_group_name_H-M 'C 1 m 1'
_symmetry_Int_Tables_number 8
_symmetry_space_group_name_Hall 'C -2y'
loop_
_atom_site_label
_atom_site_fract_x
_atom_site_fract_y
_atom_site_fract_z
Ac1 0.0000 0.0000 0.0000
Mg1 0.0004 0.2942 0.5066
Mg2 0.1845 0.5000 0.2471
Tl1 0.3095 0.0000 0.7600
```

An optimized crystal structure of Ac3MgTl2. Source: Alexandria via LeMat-Bulk, functional PBE-GGA.

## Properties
Total magnetic moment, μB/f.u.: 0.00
Total DFT energy (no corrections), eV for the cell shown: -40.5

Structure (CIF):
```
data_Ac3MgTl2
_cell_length_a 5.8129
_cell_length_b 17.5771
_cell_length_c 4.1354
_cell_angle_alpha 90.00
_cell_angle_beta 90.00
_cell_angle_gamma 90.00
_symmetry_space_group_name_H-M 'C m m m'
_symmetry_Int_Tables_number 65
_symmetry_space_group_name_Hall '-C 2 2'
loop_
_atom_site_label
_atom_site_fract_x
_atom_site_fract_y
_atom_site_fract_z
Ac1 0.0000 0.0000 0.0000
Ac2 0.0000 0.3308 0.0000
Mg1 0.0000 0.5000 0.5000
Tl1 0.0000 0.1600 0.5000
```

An optimized crystal structure of Ac2Mg3Tl. Source: Alexandria via LeMat-Bulk, functional PBE-GGA.

## Properties
Total magnetic moment, μB/f.u.: 0.00
Total DFT energy (no corrections), eV for the cell shown: -49.8

Structure (CIF):
```
data_Ac2Mg3Tl
_cell_length_a 6.2821
_cell_length_b 6.2821
_cell_length_c 15.7764
_cell_angle_alpha 90.00
_cell_angle_beta 90.00
_cell_angle_gamma 120.00
_symmetry_space_group_name_H-M 'R -3 m'
_symmetry_Int_Tables_number 166
_symmetry_space_group_name_Hall '-R 3 2"'
loop_
_atom_site_label
_atom_site_fract_x
_atom_site_fract_y
_atom_site_fract_z
Ac1 0.0000 0.0000 0.1276
Mg1 0.0000 0.5000 0.0000
Tl1 0.0000 0.0000 0.5000
```

An optimized crystal structure of Ac4MgTl3. Source: Alexandria via LeMat-Bulk, functional PBE-GGA.

## Properties
Total magnetic moment, μB/f.u.: 0.24
Total DFT energy (no corrections), eV for the cell shown: -27.1

Structure (CIF):
```
data_Ac4MgTl3
_cell_length_a 4.7657
_cell_length_b 4.9326
_cell_length_c 12.5367
_cell_angle_alpha 90.00
_cell_angle_beta 90.00
_cell_angle_gamma 90.00
_symmetry_space_group_name_H-M 'P m m 2'
_symmetry_Int_Tables_number 25
_symmetry_space_group_name_Hall 'P 2 -2'
loop_
_atom_site_label
_atom_site_fract_x
_atom_site_fract_y
_atom_site_fract_z
Ac1 0.0000 0.0000 0.0000
Ac2 0.0000 0.5000 0.4949
Ac3 0.5000 0.0000 0.7131
Ac4 0.5000 0.5000 0.2165
Mg1 0.0000 0.5000 0.7906
Tl1 0.0000 0.0000 0.2748
Tl2 0.5000 0.0000 0.4381
Tl3 0.5000 0.5000 0.9367
```

An optimized crystal structure of Ac3MgTl. Source: Alexandria via LeMat-Bulk, functional PBE-GGA.

## Properties
Total magnetic moment, μB/f.u.: 0.00
Total DFT energy (no corrections), eV for the cell shown: -68.4

Structure (CIF):
```
data_Ac3MgTl
_cell_length_a 5.8308
_cell_length_b 21.8730
_cell_length_c 5.8250
_cell_angle_alpha 90.00
_cell_angle_beta 90.00
_cell_angle_gamma 90.00
_symmetry_space_group_name_H-M 'C m c m'
_symmetry_Int_Tables_number 63
_symmetry_space_group_name_Hall '-C 2c 2'
loop_
_atom_site_label
_atom_site_fract_x
_atom_site_fract_y
_atom_site_fract_z
Ac1 0.0000 0.0622 0.2500
Ac2 0.0000 0.2504 0.2500
Ac3 0.0000 0.4373 0.2500
Mg1 0.0000 0.1542 0.7500
Tl1 0.0000 0.3443 0.7500
```

An optimized crystal structure of Ac4MgTl3. Source: Alexandria via LeMat-Bulk, functional PBE-GGA.

## Properties
Total magnetic moment, μB/f.u.: 0.00
Total DFT energy (no corrections), eV for the cell shown: -54.8

Structure (CIF):
```
data_Ac4MgTl3
_cell_length_a 5.7996
_cell_length_b 5.7996
_cell_length_c 16.7394
_cell_angle_alpha 90.00
_cell_angle_beta 90.00
_cell_angle_gamma 90.00
_symmetry_space_group_name_H-M 'I 4/m m m'
_symmetry_Int_Tables_number 139
_symmetry_space_group_name_Hall '-I 4 2'
loop_
_atom_site_label
_atom_site_fract_x
_atom_site_fract_y
_atom_site_fract_z
Ac1 0.0000 0.5000 0.1249
Mg1 0.0000 0.0000 0.0000
Tl1 0.0000 0.0000 0.2467
Tl2 0.0000 0.0000 0.5000
```

An optimized crystal structure of Ac3Mg2Tl4. Source: Alexandria via LeMat-Bulk, functional PBE-GGA.

## Properties
Total magnetic moment, μB/f.u.: 0.00
Total DFT energy (no corrections), eV for the cell shown: -55.6

Structure (CIF):
```
data_Ac3Mg2Tl4
_cell_length_a 12.5648
_cell_length_b 5.0073
_cell_length_c 9.7223
_cell_angle_alpha 90.00
_cell_angle_beta 109.24
_cell_angle_gamma 90.00
_symmetry_space_group_name_H-M 'C 1 2/m 1'
_symmetry_Int_Tables_number 12
_symmetry_space_group_name_Hall '-C 2y'
loop_
_atom_site_label
_atom_site_fract_x
_atom_site_fract_y
_atom_site_fract_z
Ac1 0.0000 0.0000 0.0000
Ac2 0.1302 0.5000 0.6955
Mg1 0.1812 0.5000 0.3566
Tl1 0.0768 0.0000 0.3966
Tl2 0.2027 0.5000 0.0633
```